1.
A relaxed structure of Ti5Ge4W, computed with PBE.

Geometry as extended XYZ:
```
10
Lattice="6.4024 -2.1093 0.0000 6.4024 2.1093 0.0000 -0.0146 0.0000 6.5183" Properties=species:S:1:pos:R:3 pbc="T T T"
Ti 0.0000 0.0000 0.0000
Ti 4.2609 0.0000 6.4686
Ti 4.3867 0.0000 3.3150
Ti 8.4035 0.0000 3.2033
Ti 8.5293 0.0000 0.0497
Ge 2.3190 0.0000 1.6653
Ge 6.2535 0.0000 1.6083
Ge 6.5367 0.0000 4.9100
Ge 10.4712 0.0000 4.8530
W -0.0073 0.0000 3.2591
```

energy relative to the elements	-0.152	eV/atom
crystal system	monoclinic
symmetry	C2/m
DOS at the Fermi energy	9.3	states/eV per cell
total DFT energy (no corrections)	-0.532	Ry/atom
total magnetic moment	0.00	μB per formula unit
mass density	6.7	Mg/m³

***

2.
A relaxed structure of NaTbMg, computed with PBE.

Geometry as extended XYZ:
```
6
Lattice="2.9953 -1.7219 0.0000 2.9953 1.7219 0.0000 -2.0831 0.0000 17.4683" Properties=species:S:1:pos:R:3 pbc="T T T"
Na 0.0000 0.0000 0.0000
Na 1.9893 0.0000 14.2062
Tb -0.0144 0.0000 11.0450
Tb 1.9721 0.0000 3.1606
Mg -0.0209 0.0000 5.8609
Mg 1.9696 0.0000 8.3459
```

energy relative to the elements	0.103	eV/atom
crystal system	monoclinic
symmetry	Cm
DOS at the Fermi energy	5.6	states/eV per cell
energy above the lowest structure with this stoichiometry	0	meV per atom
total DFT energy (no corrections)	-0.177	Ry/atom
total magnetic moment	0.00	μB per formula unit
mass density	3.8	Mg/m³

***

3.
A relaxed structure of BaCa3Si2, computed with PBE.

Geometry as extended XYZ:
```
12
Lattice="-2.4486 4.7148 7.9682 2.4486 -4.7148 7.9682 2.4486 4.7148 -7.9682" Properties=species:S:1:pos:R:3 pbc="T T T"
Ba 0.0000 0.0000 2.0582
Ba 0.0000 0.0000 13.8782
Ca 2.4486 2.9218 -2.5869
Ca 0.0000 3.1214 0.0000
Ca 2.4486 2.9218 2.5869
Ca 0.0000 1.7931 5.3813
Ca 0.0000 6.3083 0.0000
Ca 0.0000 1.7931 10.5552
Si 2.4486 1.2600 0.0000
Si 2.4486 0.0000 4.9437
Si 0.0000 4.7148 3.0246
Si 0.0000 3.4548 7.9682
```

crystal system	orthorhombic
symmetry	Immm
DOS at the Fermi energy	6.3	states/eV per cell
total DFT energy (no corrections)	-0.254	Ry/atom
total magnetic moment	0.38	μB per formula unit
ΔE_f (raw)	-0.3252	eV per atom
mass density	2.8	Mg/m³

***

4.
A relaxed structure of CeBe2GaPd2, computed with PBE.

Geometry as extended XYZ:
```
6
Lattice="4.1947 0.0000 0.0000 0.0000 4.1947 0.0000 0.0000 0.0000 5.6839" Properties=species:S:1:pos:R:3 pbc="T T T"
Ce 0.0000 0.0000 0.0000
Be 0.0000 2.0974 2.8420
Be 2.0974 0.0000 2.8420
Ga 0.0000 0.0000 2.8420
Pd 2.0974 2.0974 1.4305
Pd 2.0974 2.0974 4.2534
```

energy relative to the elements	-0.147	eV/atom
crystal system	tetragonal
symmetry	P4/mmm
DOS at the Fermi energy	7.6	states/eV per cell
total DFT energy (no corrections)	-0.339	Ry/atom
total magnetic moment	0.69	μB per formula unit
mass density	7.3	Mg/m³

***

5.
A relaxed structure of DyBe2Cu5, computed with PBE.

Geometry as extended XYZ:
```
8
Lattice="-1.7699 3.3658 4.4633 1.7699 -3.3658 4.4633 1.7699 3.3658 -4.4633" Properties=species:S:1:pos:R:3 pbc="T T T"
Dy 0.0000 0.0000 0.0000
Be 1.7699 0.0000 2.2399
Be 0.0000 3.3658 2.2234
Cu 1.7699 2.0952 -1.3630
Cu 1.7699 2.0952 1.3630
Cu 0.0000 3.3658 0.0000
Cu 0.0000 1.2706 3.1003
Cu 0.0000 1.2706 5.8263
```

energy relative to the elements	-0.091	eV/atom
crystal system	orthorhombic
symmetry	Immm
DOS at the Fermi energy	3.6	states/eV per cell
total DFT energy (no corrections)	-0.306	Ry/atom
total magnetic moment	0.00	μB per formula unit
mass density	7.8	Mg/m³

***

6.
A relaxed structure of In8GaAg2, computed with PBE.

Geometry as extended XYZ:
```
11
Lattice="10.4605 -2.3057 0.0000 10.4605 2.3057 0.0000 -0.4762 0.0000 5.8202" Properties=species:S:1:pos:R:3 pbc="T T T"
In 0.7707 0.0000 1.6557
In 3.7789 0.0000 3.5688
In 6.9181 0.0000 4.9675
In 8.4406 0.0000 2.1064
In 12.0042 0.0000 3.7137
In 13.5267 0.0000 0.8527
In 16.6659 0.0000 2.2514
In 19.6741 0.0000 4.1644
Ga 10.4605 0.0000 0.0000
Ag 4.9191 0.0000 0.8596
Ag 15.5257 0.0000 4.9606
```

energy relative to the elements	0.046	eV/atom
crystal system	monoclinic
symmetry	C2/m
DOS at the Fermi energy	3.3	states/eV per cell
total DFT energy (no corrections)	-0.201	Ry/atom
total magnetic moment	0.00	μB per formula unit
mass density	7.1	Mg/m³

***

7.
A relaxed structure of KCu2, computed with PBE.

Geometry as extended XYZ:
```
6
Lattice="6.9967 -1.8141 0.0000 6.9967 1.8141 0.0000 -3.2841 0.0000 5.9577" Properties=species:S:1:pos:R:3 pbc="T T T"
K 1.7879 0.0000 0.9903
K 8.9214 0.0000 4.9674
Cu -0.5914 0.0000 3.5454
Cu 5.9296 0.0000 1.9155
Cu 4.7797 0.0000 4.0422
Cu 11.3007 0.0000 2.4123
```

energy relative to the elements	0.358	eV/atom
crystal system	monoclinic
symmetry	C2/m
DOS at the Fermi energy	2.0	states/eV per cell
total DFT energy (no corrections)	-0.201	Ry/atom
total magnetic moment	0.00	μB per formula unit
mass density	3.6	Mg/m³

***

8.
A relaxed structure of Li2Co2Au, computed with PBE.

Geometry as extended XYZ:
```
10
Lattice="6.9643 0.0000 0.0000 0.0000 6.9643 0.0000 0.0000 0.0000 2.7239" Properties=species:S:1:pos:R:3 pbc="T T T"
Li 1.2927 2.1894 0.0000
Li 2.1894 5.6716 0.0000
Li 4.7749 1.2927 0.0000
Li 5.6716 4.7749 0.0000
Co 0.7594 4.2416 1.3620
Co 2.7227 0.7594 1.3620
Co 4.2416 6.2048 1.3620
Co 6.2048 2.7227 1.3620
Au 0.0000 0.0000 1.3620
Au 3.4821 3.4821 1.3620
```

energy relative to the elements	0.206	eV/atom
crystal system	tetragonal
symmetry	P4/mbm
DOS at the Fermi energy	10.0	states/eV per cell
energy above the lowest structure with this stoichiometry	0	meV per atom
total DFT energy (no corrections)	-0.298	Ry/atom
total magnetic moment	3.19	μB per formula unit
mass density	8.3	Mg/m³

***

9.
A relaxed structure of La2Pr4Sc, computed with PBE.

Geometry as extended XYZ:
```
14
Lattice="7.2923 0.0000 0.0000 -1.8270 7.9789 0.0000 -0.0164 -3.3658 8.3122" Properties=species:S:1:pos:R:3 pbc="T T T"
La 0.0000 0.0000 0.0000
La -0.0281 0.8496 3.6749
La 3.5520 0.8573 3.6017
La 3.5900 5.9090 2.3995
Pr -0.0621 5.8939 2.4010
Pr 1.7375 2.9894 1.1296
Pr 1.7216 3.8393 4.8242
Pr 1.6968 4.6240 8.2846
Pr 3.5418 1.6657 7.1251
Pr 5.4443 -1.1987 5.9923
Pr 5.4347 2.9605 1.2017
Pr 5.4577 3.8145 4.8485
Sc -0.0405 1.6435 7.1287
Sc 1.7376 -1.1944 5.9994
```

energy relative to the elements	0.037	eV/atom
crystal system	triclinic
symmetry	P1
DOS at the Fermi energy	23.8	states/eV per cell
energy above the lowest structure with this stoichiometry	0	meV per atom
total DFT energy (no corrections)	-0.368	Ry/atom
total magnetic moment	0.00	μB per formula unit
mass density	6.1	Mg/m³

***

10.
A relaxed structure of AgPtAuSe2, computed with PBE.

Geometry as extended XYZ:
```
5
Lattice="4.9753 0.0000 0.0000 0.0000 4.9753 0.0000 0.0000 0.0000 5.0877" Properties=species:S:1:pos:R:3 pbc="T T T"
Ag 0.0000 0.0000 0.0000
Pt 2.4876 2.4876 0.0000
Au 0.0000 0.0000 2.5438
Se 0.0000 2.4876 2.5438
Se 2.4876 0.0000 2.5438
```

crystal system	tetragonal
symmetry	P4/mmm
DOS at the Fermi energy	4.3	states/eV per cell
total DFT energy (no corrections)	-0.209	Ry/atom
total magnetic moment	0.00	μB per formula unit
ΔE_f (raw)	0.9818	eV per atom
mass density	8.7	Mg/m³

***

11.
A relaxed structure of ZrGaP2O, computed with PBE.

Geometry as extended XYZ:
```
5
Lattice="5.2112 0.0000 0.0000 0.0000 5.2112 0.0000 0.0000 0.0000 4.0030" Properties=species:S:1:pos:R:3 pbc="T T T"
Zr 0.0000 0.0000 0.0000
Ga 2.6056 2.6056 2.0015
P 0.0000 2.6056 0.0000
P 2.6056 0.0000 0.0000
O 0.0000 0.0000 2.0015
```

crystal system	tetragonal
symmetry	P4/mmm
DOS at the Fermi energy	6.0	states/eV per cell
energy above the lowest structure with this stoichiometry	0	meV per atom
total DFT energy (no corrections)	-0.432	Ry/atom
total magnetic moment	0.00	μB per formula unit
ΔE_f (raw)	-0.4066	eV per atom
mass density	3.6	Mg/m³

***

12.
A relaxed structure of La4TbHo3, computed with PBE.

Geometry as extended XYZ:
```
16
Lattice="11.6957 0.0000 0.0000 0.0000 7.3412 0.0000 0.0000 0.0000 6.3862" Properties=species:S:1:pos:R:3 pbc="T T T"
La 0.0000 0.9412 0.0000
La 0.0000 6.4033 3.1410
La 2.8903 6.4130 5.2538
La 2.9576 0.9282 2.0607
La 5.8478 0.9378 6.3341
La 5.8478 6.4000 3.1931
La 8.7381 0.9282 2.0607
La 8.8054 6.4130 5.2538
Tb 0.0000 2.7729 3.1662
Tb 5.8478 4.5683 6.3593
Ho 0.0000 4.5423 6.3509
Ho 2.9253 2.7901 5.2624
Ho 2.9225 4.5510 2.0693
Ho 5.8478 2.7988 3.1577
Ho 8.7703 2.7901 5.2624
Ho 8.7732 4.5510 2.0693
```

energy relative to the elements	0.033	eV/atom
crystal system	orthorhombic
symmetry	Pmn2_1
DOS at the Fermi energy	27.5	states/eV per cell
energy above the lowest structure with this stoichiometry	4	meV per atom
total DFT energy (no corrections)	-0.347	Ry/atom
total magnetic moment	0.00	μB per formula unit
mass density	7.3	Mg/m³

***

no.,volume (Å³/atom)
1,17.6
2,30.0
3,30.7
4,16.7
5,13.3
6,25.5
7,25.2
8,13.2
9,34.5
10,25.2
11,21.7
12,34.3